Here is a relaxed structure of VCdI2N from Alexandria. Energies are from PBE-GGA.

Unit cell a=6.0213 b=6.0213 c=4.1160 alpha=90.00 beta=90.00 gamma=90.00
Closest atoms and distances in Å follow each position.
Space group P4/mmm (No. 123)
One atom of each set of equivalent atoms:
V (0.0000, 0.0000, 0.0000) (multiplicity 1)  8 I 3.65
Cd (0.5000, 0.5000, 0.5000) (multiplicity 1)  2 N 2.06
I (0.0000, 0.5000, 0.5000) (multiplicity 2)  2 Cd 3.01
N (0.5000, 0.5000, 0.0000) (multiplicity 1)  2 Cd 2.06

Calculated values
DOS(E_F): 1.459 states/eV per atom
raw formation energy: 1.321 eV/atom
offset from the most stable computed form: 1.304 eV per atom